1:
Cd2Hg2Pd5: optimized geometry, GGA-PBE.

Space group: No. 2
Fermi-level density of states, states/eV per cell: 3.725
Total moment, μB per cell: 0.00

```
9
Lattice="-3.474 3.605 0.600 0.467 -1.172 -5.458 -2.282 -6.556 0.992" Properties=species:S:1:pos:R:3 pbc="T T T"
Cd -1.941 -0.291 -4.202
Cd -3.347 -3.832 0.337
Hg -3.994 -2.034 -2.550
Hg -1.294 -2.089 -1.315
Pd -2.379 0.442 -1.596
Pd -2.910 -4.566 -2.269
Pd -4.109 -1.137 0.109
Pd -1.180 -2.986 -3.974
Pd 0.000 0.000 0.000
```



2:
Cd2Hg2Pd5: optimized geometry, GGA-PBE.

Space group: No. 46
Fermi-level density of states, states/eV per cell: 10.022
Total moment, μB per cell: 0.00

```
18
Lattice="5.098 0.000 0.000 0.000 9.332 0.000 -2.549 -4.666 6.953" Properties=species:S:1:pos:R:3 pbc="T T T"
Cd -0.227 5.273 1.826
Cd 2.776 0.607 5.127
Cd 2.776 0.607 1.826
Cd -0.227 5.273 5.127
Hg 0.000 0.603 0.000
Hg 2.549 5.269 0.000
Hg 0.276 0.611 3.476
Hg 2.273 5.277 3.476
Pd -1.273 2.938 6.268
Pd 3.822 7.604 0.685
Pd -1.276 -1.728 6.268
Pd 3.825 2.938 0.685
Pd 1.271 7.608 2.076
Pd 1.277 2.942 4.876
Pd 1.277 2.942 2.076
Pd 1.271 -1.724 4.876
Pd -1.272 2.945 3.476
Pd 3.821 -1.721 3.476
```



What should be chosen as the most stable of them? Choose 1.



1:
Cd3HgPd: optimized geometry, GGA-PBE.

Space group: No. 221
Fermi-level density of states, states/eV per cell: 1.292
Total moment, μB per cell: 0.00

```
5
Lattice="5.254 0.000 0.000 0.000 5.254 0.000 0.000 0.000 5.254" Properties=species:S:1:pos:R:3 pbc="T T T"
Hg 2.627 2.627 2.627
Pd 0.000 0.000 0.000
Cd 0.000 2.627 0.000
Cd 0.000 0.000 2.627
Cd 2.627 0.000 0.000
```



2:
Cd3HgPd: optimized geometry, GGA-PBE.

Space group: No. 14
Fermi-level density of states, states/eV per cell: 7.189
Total moment, μB per cell: 0.00

```
20
Lattice="6.025 0.000 1.290 0.000 7.710 0.000 1.448 0.000 9.655" Properties=species:S:1:pos:R:3 pbc="T T T"
Cd 2.456 4.181 6.118
Cd 2.729 0.326 9.009
Cd 5.017 3.529 4.827
Cd 4.744 7.384 1.935
Cd 6.049 7.589 8.538
Cd 5.161 3.734 7.879
Cd 1.424 0.121 2.407
Cd 2.313 3.976 3.065
Cd 3.773 6.509 4.530
Cd 5.988 2.654 2.232
Cd 3.700 1.201 6.415
Cd 1.485 5.056 8.712
Hg 4.252 5.501 10.182
Hg 0.932 1.645 4.945
Hg 3.221 2.210 0.762
Hg 6.541 6.065 6.000
Pd 6.253 5.363 3.148
Pd 3.509 1.508 3.614
Pd 1.220 2.347 7.796
Pd 3.964 6.202 7.330
```



What should be chosen as the most stable of them? Choose 2.



1:
CdHg2Pd5: optimized geometry, GGA-PBE.

Space group: No. 139
Fermi-level density of states, states/eV per cell: 2.623
Total moment, μB per cell: 0.00

```
8
Lattice="4.162 0.000 -1.144 -0.315 4.150 -1.144 -0.042 -0.045 7.991" Properties=species:S:1:pos:R:3 pbc="T T T"
Cd 0.000 0.000 0.000
Hg 2.861 3.086 2.263
Hg 0.945 1.020 3.440
Pd 1.924 2.075 -1.144
Pd 3.502 1.533 4.597
Pd 1.264 3.608 4.597
Pd 0.304 2.573 1.105
Pd 2.542 0.497 1.105
```



2:
CdHg2Pd5: optimized geometry, GGA-PBE.

Space group: No. 42
Fermi-level density of states, states/eV per cell: 3.111
Total moment, μB per cell: 0.00

```
8
Lattice="-2.339 -5.184 -2.233 3.794 -3.258 3.510 -3.240 4.195 2.053" Properties=species:S:1:pos:R:3 pbc="T T T"
Cd -1.114 -0.012 1.193
Hg 0.780 -1.641 2.951
Hg -2.286 -2.603 0.079
Pd -3.904 -0.506 1.107
Pd -2.736 2.083 2.223
Pd -2.010 -2.133 2.861
Pd -0.841 0.456 3.976
Pd -0.391 -4.232 1.837
```



What should be chosen as the most stable of them? Choose 1.



1:
CdHg2Pd8: optimized geometry, GGA-PBE.

Space group: No. 12
Fermi-level density of states, states/eV per cell: 8.936
Total moment, μB per cell: 0.00

```
11
Lattice="-2.927 1.145 2.647 -3.122 -5.495 -1.075 5.955 -1.878 4.208" Properties=species:S:1:pos:R:3 pbc="T T T"
Cd -1.463 0.573 1.323
Hg -0.090 -2.085 3.992
Hg -0.005 -4.142 1.787
Pd 1.986 -4.062 3.954
Pd -2.694 -4.884 2.324
Pd -0.763 -4.887 4.461
Pd 1.790 -2.140 6.095
Pd 0.668 -1.340 1.319
Pd 2.600 -1.343 3.456
Pd -2.080 -2.165 1.826
Pd -1.885 -4.087 -0.315
```



2:
CdHg2Pd8: optimized geometry, GGA-PBE.

Space group: No. 71
Fermi-level density of states, states/eV per cell: 10.444
Total moment, μB per cell: 0.00

```
11
Lattice="-2.208 -2.708 -2.717 3.347 -5.381 2.643 -5.084 3.369 4.379" Properties=species:S:1:pos:R:3 pbc="T T T"
Cd -1.104 -1.354 -1.359
Hg -0.079 -2.953 3.007
Hg -3.866 -1.767 1.298
Pd -0.044 -5.419 1.830
Pd -2.442 -1.648 3.626
Pd -1.401 -0.210 1.347
Pd 0.966 -1.553 0.763
Pd -2.544 -4.511 2.957
Pd -1.503 -3.073 0.678
Pd -3.902 0.698 2.474
Pd -4.911 -3.167 3.542
```



What should be chosen as the most stable of them? Choose 1.



1:
Cd3HgPd6: optimized geometry, GGA-PBE.

Space group: No. 12
Fermi-level density of states, states/eV per cell: 5.478
Total moment, μB per cell: 0.00

```
10
Lattice="6.891 0.082 0.058 3.356 6.373 1.112 3.356 3.178 5.635" Properties=species:S:1:pos:R:3 pbc="T T T"
Cd 2.977 2.406 1.700
Cd 10.626 7.227 5.105
Cd 0.000 0.000 0.000
Hg 6.802 4.816 3.402
Pd 5.096 2.726 3.622
Pd 8.507 5.308 5.446
Pd 8.507 6.906 3.183
Pd 5.096 4.325 1.359
Pd 6.443 7.181 5.073
Pd 7.161 2.451 1.732
```



2:
Cd3HgPd6: optimized geometry, GGA-PBE.

Space group: No. 11
Fermi-level density of states, states/eV per cell: 6.955
Total moment, μB per cell: 0.00

```
20
Lattice="4.698 0.000 0.000 0.000 7.356 -2.587 0.000 -0.056 9.963" Properties=species:S:1:pos:R:3 pbc="T T T"
Cd 1.175 3.900 2.673
Cd 3.524 3.400 4.703
Cd 1.175 2.497 7.194
Cd 3.524 4.804 0.182
Cd 1.175 5.545 -1.786
Cd 3.524 1.755 9.162
Hg 1.175 6.875 3.752
Hg 3.524 0.425 3.624
Pd 1.175 3.238 -0.045
Pd 3.524 4.062 7.421
Pd 1.175 1.040 1.746
Pd 3.524 6.260 5.630
Pd 1.175 4.694 5.486
Pd 3.524 2.606 1.889
Pd 1.175 1.751 4.501
Pd 3.524 5.549 2.875
Pd 1.175 6.178 0.989
Pd 3.524 1.122 6.386
Pd 1.175 0.269 9.016
Pd 3.524 7.031 -1.641
```



What should be chosen as the most stable of them? Choose 2.



1:
Cd2Hg2Pd: optimized geometry, GGA-PBE.

Space group: No. 127
Fermi-level density of states, states/eV per cell: 3.733
Total moment, μB per cell: 0.00

```
10
Lattice="-1.122 2.282 -6.789 -5.634 -4.525 -0.590 -2.627 3.080 1.469" Properties=species:S:1:pos:R:3 pbc="T T T"
Hg -5.235 -1.089 -0.766
Hg -6.771 -0.732 -4.263
Hg -4.149 1.926 -5.144
Hg -2.612 1.568 -1.647
Pd 0.000 0.000 0.000
Pd -3.378 -1.121 -3.690
Cd -5.208 -3.056 -2.906
Cd -4.599 -0.975 -6.178
Cd -1.549 0.813 -4.473
Cd -2.158 -1.268 -1.201
```



2:
Cd2Hg2Pd: optimized geometry, GGA-PBE.

Space group: No. 139
Fermi-level density of states, states/eV per cell: 2.132
Total moment, μB per cell: 0.00

```
5
Lattice="3.920 0.000 0.000 0.000 3.920 0.000 1.960 1.960 7.381" Properties=species:S:1:pos:R:3 pbc="T T T"
Hg 1.960 1.960 1.369
Hg 3.920 3.920 6.012
Pd 0.000 0.000 0.000
Cd 3.920 1.960 3.691
Cd 1.960 3.920 3.691
```



What should be chosen as the most stable of them? Choose 1.



1:
PmCd3Hg3: optimized geometry, GGA-PBE.

Space group: No. 223
Fermi-level density of states, states/eV per cell: 12.959
Total moment, μB per cell: 0.00

```
14
Lattice="-2.537 4.570 -5.694 -3.505 -6.051 -3.294 -6.405 1.501 4.058" Properties=species:S:1:pos:R:3 pbc="T T T"
Cd -3.837 1.893 0.605
Cd -3.354 -2.650 -0.633
Cd -3.897 -2.253 -5.318
Cd -5.105 4.178 -2.242
Cd -6.556 -1.900 1.396
Cd -2.145 0.772 -3.671
Hg -4.079 -0.762 1.205
Hg -5.831 -3.788 -0.442
Hg -6.072 3.410 0.196
Hg -3.655 0.402 -5.918
Hg -2.870 2.660 -1.833
Hg -2.386 -1.883 -3.071
Pm -6.223 0.010 -2.466
Pm 0.000 0.000 0.000
```



2:
PmCd3Hg3: optimized geometry, GGA-PBE.

Space group: No. 221
Fermi-level density of states, states/eV per cell: 5.934
Total moment, μB per cell: 0.00

```
7
Lattice="-4.074 3.509 -2.689 -3.850 -4.613 -0.188 -2.173 1.595 5.374" Properties=species:S:1:pos:R:3 pbc="T T T"
Pm -5.048 0.245 1.249
Cd -1.925 -2.307 -0.094
Cd -1.086 0.797 2.687
Cd -2.037 1.755 -1.344
Hg -3.123 2.552 1.342
Hg -3.962 -0.552 -1.438
Hg -3.011 -1.509 2.593
```



What should be chosen as the most stable of them? Choose 2.



1:
PmCdHg4: optimized geometry, GGA-PBE.

Space group: No. 12
Fermi-level density of states, states/eV per cell: 5.954
Total moment, μB per cell: 0.00

```
12
Lattice="-1.809 2.199 3.903 0.950 -7.996 1.956 7.149 10.019 -2.332" Properties=species:S:1:pos:R:3 pbc="T T T"
Pm 2.285 -4.942 2.349
Pm 4.005 9.163 1.178
Cd -0.429 -2.899 2.930
Cd 4.050 1.011 -0.188
Hg -0.165 -0.144 4.492
Hg 1.975 0.457 2.155
Hg 6.455 4.366 -0.965
Hg 4.315 3.764 1.372
Hg 3.694 6.353 -0.372
Hg 7.075 1.778 0.783
Hg 2.596 -2.132 3.900
Hg -0.784 2.443 2.745
```



2:
PmCdHg4: optimized geometry, GGA-PBE.

Space group: No. 216
Fermi-level density of states, states/eV per cell: 4.006
Total moment, μB per cell: 0.00

```
6
Lattice="-3.378 -4.775 1.418 0.825 -2.816 5.254 -4.156 0.434 4.331" Properties=species:S:1:pos:R:3 pbc="T T T"
Cd 0.000 0.000 0.000
Hg -2.115 -4.689 4.712
Hg -4.605 -3.065 4.251
Hg -4.192 -4.473 6.877
Hg -2.504 -2.086 6.168
Pm -1.677 -1.789 2.751
```



3:
PmCdHg4: optimized geometry, GGA-PBE.

Space group: No. 12
Fermi-level density of states, states/eV per cell: 4.477
Total moment, μB per cell: 0.00

```
12
Lattice="5.130 0.107 -0.974 -0.722 7.930 -2.910 -0.109 -1.498 8.289" Properties=species:S:1:pos:R:3 pbc="T T T"
Pm 0.473 1.001 2.608
Pm 3.826 5.538 1.797
Cd 3.496 4.334 -1.406
Cd 0.803 2.206 5.811
Hg 3.330 1.729 3.879
Hg 2.755 2.255 0.655
Hg 4.884 0.104 6.766
Hg 1.985 -0.557 5.524
Hg 0.969 4.810 0.526
Hg 1.544 4.284 3.750
Hg -0.585 6.435 -2.361
Hg 2.314 7.096 -1.119
```



What should be chosen as the most stable of them? Choose 1.



1:
PmCd6Hg12: optimized geometry, GGA-PBE.

Space group: No. 148
Fermi-level density of states, states/eV per cell: 6.391
Total moment, μB per cell: 0.00

```
19
Lattice="8.143 -0.425 -2.186 -2.743 7.679 -2.186 -0.316 -0.425 8.425" Properties=species:S:1:pos:R:3 pbc="T T T"
Pm 0.000 0.000 0.000
Cd 0.492 1.811 2.743
Cd 4.148 3.643 4.185
Cd 2.054 5.839 3.110
Cd 4.592 5.018 1.309
Cd 0.936 3.186 -0.132
Cd 3.030 0.991 0.942
Hg 3.283 0.738 3.966
Hg -0.612 4.617 2.316
Hg 3.814 3.357 -1.113
Hg 1.801 6.091 0.086
Hg 5.696 2.213 1.736
Hg 1.270 3.473 5.166
Hg 7.496 0.433 3.352
Hg 2.203 -0.476 6.491
Hg 6.086 1.974 -2.508
Hg -2.412 6.396 0.700
Hg 2.881 7.305 -2.439
Hg -1.002 4.856 6.560
```



2:
PmCd6Hg12: optimized geometry, GGA-PBE.

Space group: No. 148
Fermi-level density of states, states/eV per cell: 6.374
Total moment, μB per cell: 0.00

```
19
Lattice="-7.379 0.840 2.779 -2.572 -2.574 -7.045 0.613 -7.370 2.861" Properties=species:S:1:pos:R:3 pbc="T T T"
Pm 0.000 0.000 0.000
Cd -8.090 -3.137 -1.895
Cd -5.539 -1.781 1.884
Cd -3.843 -2.616 -3.973
Cd -1.248 -5.967 0.490
Cd -3.799 -7.323 -3.289
Cd -5.495 -6.488 2.568
Hg -6.731 -4.420 0.554
Hg -5.707 -4.945 -2.851
Hg -4.221 -6.877 -0.210
Hg -2.606 -4.683 -1.959
Hg -3.630 -4.158 1.446
Hg -5.116 -2.226 -1.196
Hg -0.956 -2.736 1.244
Hg -8.205 -7.069 0.722
Hg -6.201 -8.781 -1.503
Hg -8.382 -6.367 -2.650
Hg -1.132 -2.035 -2.128
Hg -3.136 -0.323 0.097
```



What should be chosen as the most stable of them? Choose 1.



1:
PmCd2Hg8: optimized geometry, GGA-PBE.

Space group: No. 12
Fermi-level density of states, states/eV per cell: 4.432
Total moment, μB per cell: 0.00

```
11
Lattice="-4.184 0.949 1.650 -0.934 -9.171 2.976 2.167 -2.984 7.249" Properties=species:S:1:pos:R:3 pbc="T T T"
Pm -2.092 0.474 0.825
Cd 0.138 -4.217 2.812
Cd 1.095 -7.937 7.414
Hg -3.618 -0.238 3.764
Hg -2.904 -4.105 7.836
Hg -2.394 -2.526 1.797
Hg -1.740 -7.914 6.614
Hg -1.211 -3.292 5.261
Hg -2.724 -5.696 2.829
Hg -0.047 -7.101 4.039
Hg 0.667 -10.968 8.110
```



2:
PmCd2Hg8: optimized geometry, GGA-PBE.

Space group: No. 12
Fermi-level density of states, states/eV per cell: 4.006
Total moment, μB per cell: 0.00

```
11
Lattice="4.924 0.000 -1.415 -1.010 7.507 -3.515 -0.332 -0.920 8.116" Properties=species:S:1:pos:R:3 pbc="T T T"
Cd 0.207 5.014 0.720
Cd 3.374 1.573 2.466
Hg 2.616 3.140 -0.172
Hg 1.360 0.637 4.731
Hg 0.489 0.815 1.699
Hg 3.889 4.220 4.255
Hg 3.093 5.773 1.486
Hg 2.221 5.950 -1.545
Hg 0.965 3.448 3.358
Hg -0.307 2.367 -1.069
Pm 2.462 0.000 -0.708
```



What should be chosen as the most stable of them? Choose 2.